Below is an optimized crystal structure of LiSiB, with properties calculated at the PBE-GGA level.

Output
The value obtained for the formation energy from raw total energies is 0.5102 eV per atom. The calculation puts the magnetic moment at 0.000 μB/atom.

abc: 4.182 4.182 7.243
angles: 90.00 90.00 120.00
Fractional positions:
Li 0.667 0.333 0.750
Li 0.333 0.667 0.250
Si 0.000 0.000 0.500
Si 0.000 0.000 0.000
B 0.000 0.000 0.750
B 0.000 0.000 0.250

Below is an optimized crystal structure of Rb3SeCl, with properties calculated at the PBE-GGA level.

Output
The value obtained for the formation energy from raw total energies is -1.1813 eV per atom. The calculation puts the magnetic moment at 0.000 μB/atom. The value obtained for the offset from the most stable computed form is 0.000 eV/atom.

abc: 6.517 6.517 6.517
angles: 90.00 90.00 90.00
Fractional positions:
Rb 0.500 0.000 0.000
Rb 0.000 0.000 0.500
Rb 0.000 0.500 0.000
Cl 0.500 0.500 0.500
Se 0.000 0.000 0.000

Below is an optimized crystal structure of TbHg2Au, with properties calculated at the PBE-GGA level.

Output
The calculation puts the magnetic moment at 0.000 μB/atom. The value obtained for the offset from the most stable computed form is 0.057 eV/atom. For the formation energy, the calculation gives -1.60 eV per formula unit.

abc: 4.906 4.371 4.371
angles: 90.00 90.00 90.00
Fractional positions:
Tb 0.500 0.500 0.500
Au 0.500 0.000 0.000
Hg 0.000 0.500 0.000
Hg 0.000 0.000 0.500

Below is an optimized crystal structure of NiTe2Cl, with properties calculated at the PBE-GGA level.

Output
The value obtained for the formation energy from raw total energies is -0.0097 eV per atom. The calculation puts the magnetic moment at 0.000 μB/atom.

abc: 3.424 3.424 7.529
angles: 90.00 90.00 90.00
Fractional positions:
Cl 0.500 0.500 0.250
Te 0.000 0.000 0.562
Te 0.000 0.000 0.938
Ni 0.500 0.500 0.750

Below is an optimized crystal structure of Rb2OsF2, with properties calculated at the PBE-GGA level.

Output
The value obtained for the formation energy from raw total energies is -0.4161 eV per atom. The calculation puts the magnetic moment at 0.800 μB/atom. The value obtained for the offset from the most stable computed form is 0.097 eV/atom.

abc: 5.014 5.014 7.072
angles: 69.24 69.24 90.00
Last column: magnetic moment on the atom in μB.
Fractional positions:
Os 0.000 0.000 0.000  3.35
Rb 0.335 0.335 0.330  0.00
Rb 0.665 0.665 0.670  0.00
F 0.750 0.250 0.500  0.03
F 0.250 0.750 0.500  0.03

Below is an optimized crystal structure of FeTe2Rh, with properties calculated at the PBE-GGA level.

Output
The value obtained for the formation energy from raw total energies is -0.0299 eV per atom. The calculation puts the magnetic moment at 0.756 μB/atom.

abc: 4.660 4.431 4.432
angles: 70.96 90.00 90.00
Last column: magnetic moment on the atom in μB.
Fractional positions:
Rh 0.500 0.712 0.713  0.20
Te 0.500 0.343 0.343  -0.02
Te 0.000 0.907 0.906  -0.01
Fe 0.000 0.538 0.538  2.75

Below is an optimized crystal structure of Dy6SiSe3S2, with properties calculated at the PBE-GGA level.

Output
The value obtained for the formation energy from raw total energies is -1.7313 eV per atom. The calculation puts the magnetic moment at 0.000 μB/atom.

abc: 6.939 6.939 7.084
angles: 99.37 99.37 119.98
Fractional positions:
S 0.667 0.333 0.000
S 0.333 0.667 0.000
Dy 0.076 0.408 0.230
Dy 0.924 0.592 0.770
Dy 0.745 0.745 0.229
Dy 0.408 0.076 0.230
Dy 0.255 0.255 0.771
Dy 0.592 0.924 0.770
Si 0.000 0.000 0.000
Se 0.500 0.500 0.500
Se 0.833 0.167 0.500
Se 0.167 0.833 0.500

Below is an optimized crystal structure of Na4InAg, with properties calculated at the PBE-GGA level.

Output
The calculation puts the magnetic moment at 0.000 μB/atom. For the formation energy, the calculation gives -0.36 eV per formula unit.

abc: 5.634 5.730 12.065
angles: 84.69 79.15 60.55
Fractional positions:
Ag 0.748 0.504 0.500
Ag 0.252 0.496 0.500
Na 0.486 0.333 0.728
Na 0.334 0.331 0.000
Na 0.666 0.669 0.000
Na 0.792 0.000 0.405
Na 0.181 0.333 0.272
Na 0.819 0.667 0.728
Na 0.208 0.000 0.595
Na 0.514 0.667 0.272
In 0.065 0.000 0.874
In 0.935 0.000 0.126

Below is an optimized crystal structure of LiEuAu2, with properties calculated at the PBE-GGA level.

Output
The calculation puts the magnetic moment at 1.775 μB/atom. For the formation energy, the calculation gives -2.60 eV per formula unit.

abc: 3.528 3.528 6.811
angles: 90.00 90.00 90.00
Last column: magnetic moment on the atom in μB.
Fractional positions:
Li 0.500 0.500 0.000  0.01
Au 0.000 0.000 0.792  0.00
Au 0.000 0.000 0.208  0.00
Eu 0.500 0.500 0.500  6.83

Below is an optimized crystal structure of MgZrAlTc, with properties calculated at the PBE-GGA level.

Output
The calculation puts the magnetic moment at 0.000 μB/atom. For the formation energy, the calculation gives -0.60 eV per formula unit.

abc: 4.614 4.614 4.614
angles: 60.00 60.00 60.00
Fractional positions:
Zr 0.250 0.250 0.250
Al 0.750 0.750 0.750
Mg 0.500 0.500 0.500
Tc 0.000 0.000 0.000

Below is an optimized crystal structure of MgZnSe2, with properties calculated at the PBE-GGA level.

Output
The value obtained for the formation energy from raw total energies is -0.3550 eV per atom. The calculation puts the magnetic moment at 0.000 μB/atom.

abc: 10.238 10.238 10.238
angles: 154.08 154.08 36.98
Fractional positions:
Zn 0.929 0.929 0.000
Zn 0.071 0.071 0.000
Mg 0.250 0.750 0.500
Mg 0.750 0.250 0.500
Se 0.317 0.317 0.000
Se 0.500 0.000 0.500
Se 0.683 0.683 0.000
Se 0.000 0.500 0.500

Below is an optimized crystal structure of AlPPt2, with properties calculated at the PBE-GGA level.

Output
The calculation puts the magnetic moment at 0.000 μB/atom. The value obtained for the offset from the most stable computed form is 0.273 eV/atom. For the formation energy, the calculation gives -1.27 eV per formula unit.

abc: 4.384 4.384 4.384
angles: 60.00 60.00 60.00
Fractional positions:
Pt 0.750 0.750 0.750
Pt 0.250 0.250 0.250
Al 0.000 0.000 0.000
P 0.500 0.500 0.500